[1]
Computed, not measured: a relaxed structure of Re2Sb at the PBE level of DFT.

Cell lengths 3.0271, 3.0271, 11.3479 Å; angles 90.00, 90.00, 90.00 degrees
Last column: nearest neighbours and their distance in Å.
Space group I4/mmm (No. 139)
Symmetry-distinct sites (fractional):
Re  0.0000  0.0000  0.1816  4 Re 2.64
Sb  0.0000  0.0000  0.5000  8 Re 2.97, 4 Sb 3.03

Values from the calculation:
**Formation energy from raw total energies**: 409 meV/atom
**DOS(E_F)**: 0.642 states/eV/atom
**Energy relative to the lowest polymorph listed for this composition**: 207 meV per atom
**E**: -9.2638 eV/atom
**Crystal system**: tetragonal

---

[2]
Computed, not measured: a relaxed structure of Ca2HfZrSb4 at the PBE level of DFT.

Cell lengths 7.2908, 4.2147, 7.7482 Å; angles 90.00, 108.26, 90.00 degrees
Last column: nearest neighbours and their distance in Å.
Space group P2/m (No. 10)
Symmetry-distinct sites (fractional):
Ca  0.0000  0.0000  0.0000  6 Sb 3.15
Ca  0.5000  0.5000  0.0000  6 Sb 3.16-3.17
Hf  0.0000  0.5000  0.5000  6 Sb 2.94
Zr  0.5000  0.0000  0.5000  6 Sb 2.95-2.96
Sb  0.2398  0.0000  0.7256  2 Hf 2.94, 1 Zr 2.95, 3 Ca 3.15-3.17
Sb  0.2557  0.5000  0.2731  1 Hf 2.94, 2 Zr 2.96, 3 Ca 3.15-3.16

Values from the calculation:
**Formation energy from raw total energies**: -765 meV/atom
**DOS(E_F)**: 0.228 states/eV/atom
**E**: -5.6393 eV/atom
**Crystal system**: monoclinic